[1]
Compound: K4Ho3TiS8
Source: the Alexandria database
Functional: GGA-PBE
Structure: relaxed

Results
symmetry: R-3m, No. 166
N(E_F): 5.75 states/eV/cell
uncorrected energy: -86.53 eV for the cell shown
energy relative to the elements, uncorrected: -1718 meV per atom

Lattice parameters (Å, degrees): 8.6462 8.6462 8.6462 54.39 54.39 54.39
Closest atoms and distances in Å follow each position.
Element x y z (fractional)
K: 0.0000 0.0000 0.0000  6 S 3.28
K: 0.0000 0.5000 0.5000  6 S 3.15-3.16
K: 0.5000 0.0000 0.5000  6 S 3.15-3.16
K: 0.5000 0.5000 0.0000  6 S 3.15-3.16
Ho: 0.0000 0.0000 0.5000  6 S 2.73-2.75
Ho: 0.0000 0.5000 0.0000  6 S 2.73-2.75
Ho: 0.5000 0.0000 0.0000  6 S 2.73-2.75
Ti: 0.5000 0.5000 0.5000  6 S 2.60
S: 0.2346 0.2346 0.2346  3 Ho 2.73
S: 0.2489 0.7232 0.7232  1 Ti 2.60, 2 Ho 2.75
S: 0.2768 0.2768 0.7511  1 Ti 2.60, 2 Ho 2.75
S: 0.2768 0.7511 0.2768  1 Ti 2.60, 2 Ho 2.75
S: 0.7232 0.2489 0.7232  1 Ti 2.60, 2 Ho 2.75
S: 0.7232 0.7232 0.2489  1 Ti 2.60, 2 Ho 2.75
S: 0.7511 0.2768 0.2768  1 Ti 2.60, 2 Ho 2.75
S: 0.7654 0.7654 0.7654  3 Ho 2.73

[2]
Compound: CeTl
Source: the Alexandria database
Functional: GGA-PBE
Structure: relaxed

Results
symmetry: Fm-3m, No. 225
DFT formation energy: 90 meV/atom
N(E_F): 7.89 states/eV/cell
uncorrected energy: -8.12 eV for the cell shown

Lattice parameters (Å, degrees): 4.5736 4.5736 4.5736 60.00 60.00 60.00
Closest atoms and distances in Å follow each position.
Element x y z (fractional)
Ce: 0.0000 0.0000 0.0000  6 Tl 3.23
Tl: 0.5000 0.5000 0.5000  6 Ce 3.23

[3]
Compound: TeP2Os
Source: the Alexandria database
Functional: GGA-PBE
Structure: relaxed

Results
symmetry: Cmm2, No. 35
ΔE to the lowest computed polymorph: 2.81 eV/f.u.
N(E_F): 3.32 states/eV/cell
uncorrected energy: -22.25 eV for the cell shown
energy relative to the elements, uncorrected: 736 meV per atom

Lattice parameters (Å, degrees): 3.1611 3.1611 8.9373 90.00 90.00 121.91
Closest atoms and distances in Å follow each position.
Element x y z (fractional)
Te: 0.0000 0.0000 0.0000  2 Os 2.73
P: 0.0000 0.0000 0.5387  2 P 2.20, 2 Os 2.42
P: 0.5000 0.5000 0.3631  2 P 2.20
Os: 0.5000 0.5000 0.7477  2 P 2.42

[4]
Compound: Dy5Cd2Si2
Source: the Alexandria database
Functional: GGA-PBE
Structure: relaxed

Results
symmetry: Cmce, No. 64
N(E_F): 12.30 states/eV/cell
uncorrected energy: -80.43 eV for the cell shown
energy relative to the elements, uncorrected: -503 meV per atom

Lattice parameters (Å, degrees): 8.9248 8.9248 7.5230 90.00 90.00 49.78
Closest atoms and distances in Å follow each position.
Element x y z (fractional)
Dy: 0.0000 0.0000 0.0000  4 Si 3.00-3.01
Dy: 0.0597 0.6920 0.6796  3 Si 2.93-3.06, 3 Cd 3.16-3.20
Dy: 0.1920 0.5597 0.1796  3 Si 2.93-3.06, 3 Cd 3.16-3.20
Dy: 0.3080 0.9403 0.6796  3 Si 2.93-3.06, 3 Cd 3.16-3.20
Dy: 0.4403 0.8080 0.1796  3 Si 2.93-3.06, 3 Cd 3.16-3.20
Dy: 0.5000 0.5000 0.5000  4 Si 3.00-3.01
Dy: 0.5597 0.1920 0.8204  3 Si 2.93-3.06, 3 Cd 3.16-3.20
Dy: 0.6920 0.0597 0.3204  3 Si 2.93-3.06, 3 Cd 3.16-3.20
Dy: 0.8080 0.4403 0.8204  3 Si 2.93-3.06, 3 Cd 3.16-3.20
Dy: 0.9403 0.3080 0.3204  3 Si 2.93-3.06, 3 Cd 3.16-3.20
Cd: 0.2217 0.2217 0.0000  6 Dy 3.16-3.20
Cd: 0.2783 0.2783 0.5000  6 Dy 3.16-3.20
Cd: 0.7217 0.7217 0.5000  6 Dy 3.16-3.20
Cd: 0.7783 0.7783 0.0000  6 Dy 3.16-3.20
Si: 0.1172 0.8828 0.3811  1 Si 2.51
Si: 0.3828 0.6172 0.8811  1 Si 2.51
Si: 0.6172 0.3828 0.1189  1 Si 2.51
Si: 0.8828 0.1172 0.6189  1 Si 2.51

[5]
Compound: BaNi2I2
Source: the Alexandria database
Functional: GGA-PBE
Structure: relaxed

Results
symmetry: P4/mbm, No. 127
ΔE to the lowest computed polymorph: 0.00 eV/f.u.
N(E_F): 4.93 states/eV/cell
uncorrected energy: -35.37 eV for the cell shown
energy relative to the elements, uncorrected: -220 meV per atom

Lattice parameters (Å, degrees): 7.9975 7.9975 4.5778 90.00 90.00 90.00
Closest atoms and distances in Å follow each position.
Element x y z (fractional)
Ba: 0.0000 0.0000 0.0000  4 Ni 3.26
Ba: 0.5000 0.5000 0.0000  4 Ni 3.26
Ni: 0.1068 0.3932 0.0000  1 Ni 2.42, 2 I 2.46
Ni: 0.3932 0.8932 0.0000  1 Ni 2.42, 2 I 2.46
Ni: 0.6068 0.1068 0.0000  1 Ni 2.42, 2 I 2.46
Ni: 0.8932 0.6068 0.0000  1 Ni 2.42, 2 I 2.46
I: 0.1868 0.3132 0.5000  2 Ni 2.46
I: 0.3132 0.8132 0.5000  2 Ni 2.46
I: 0.6868 0.1868 0.5000  2 Ni 2.46
I: 0.8132 0.6868 0.5000  2 Ni 2.46

[6]
Compound: Ba14Ni3Ag6
Source: the Alexandria database
Functional: GGA-PBE
Structure: relaxed

Results
symmetry: P3, No. 143
DFT formation energy: -74 meV/atom
N(E_F): 17.77 states/eV/cell
uncorrected energy: -63.06 eV for the cell shown

Lattice parameters (Å, degrees): 11.7597 11.7597 8.0594 90.00 90.00 120.00
Closest atoms and distances in Å follow each position.
Element x y z (fractional)
Ba: 0.0000 0.0000 0.0000  1 Ni 2.86
Ba: 0.0869 0.5437 0.2837  1 Ni 3.16, 3 Ag 3.45-3.50
Ba: 0.2072 0.4149 0.7577  1 Ni 3.19, 2 Ag 3.41
Ba: 0.2077 0.7928 0.7577  1 Ni 3.19, 2 Ag 3.41
Ba: 0.2475 0.1240 0.4499  1 Ni 2.97
Ba: 0.4186 0.2091 0.9560  1 Ni 2.97
Ba: 0.4563 0.5433 0.2837  1 Ni 3.16, 3 Ag 3.45-3.50
Ba: 0.4567 0.9131 0.2837  1 Ni 3.16, 3 Ag 3.45-3.50
Ba: 0.5851 0.7923 0.7577  1 Ni 3.19, 2 Ag 3.41
Ba: 0.6667 0.3333 0.5062  1 Ni 2.88
Ba: 0.7904 0.5814 0.9560  1 Ni 2.97
Ba: 0.7909 0.2096 0.9560  1 Ni 2.97
Ba: 0.8760 0.1235 0.4499  1 Ni 2.97
Ba: 0.8765 0.7525 0.4499  1 Ni 2.97
Ni: 0.0000 0.0000 0.6452  4 Ba 2.86-2.97
Ni: 0.3333 0.6667 0.5229  6 Ba 3.16-3.19
Ni: 0.6667 0.3333 0.1492  4 Ba 2.88-2.97
Ag: 0.1462 0.2934 0.1807  6 Ba 3.32-3.63
Ag: 0.1472 0.8538 0.1807  6 Ba 3.32-3.63
Ag: 0.5198 0.4791 0.6867  6 Ba 3.32-3.53
Ag: 0.5209 0.0407 0.6867  6 Ba 3.32-3.53
Ag: 0.7066 0.8528 0.1807  6 Ba 3.32-3.63
Ag: 0.9593 0.4802 0.6867  6 Ba 3.32-3.53

[7]
Compound: Ac2La4PrHo
Source: the Alexandria database
Functional: GGA-PBE
Structure: relaxed

Results
symmetry: P2/m, No. 10
DFT formation energy: 28 meV/atom
N(E_F): 14.49 states/eV/cell
uncorrected energy: -37.06 eV for the cell shown

Lattice parameters (Å, degrees): 6.4694 3.7973 12.5689 90.00 100.46 90.00
Closest atoms and distances in Å follow each position.
Element x y z (fractional)
Ac: 0.0000 0.0000 0.0000  4 Pr 3.75, 2 Ac 3.80, 6 La 3.80-3.83
Ac: 0.0000 0.5000 0.5000  6 La 3.75-3.79, 4 Ho 3.75, 2 Ac 3.80
La: 0.2552 0.0000 0.7505  6 La 3.71-3.80, 2 Pr 3.76, 1 Ho 3.77, 3 Ac 3.79-3.80
La: 0.2545 0.5000 0.2548  6 La 3.71-3.80, 2 Ho 3.72, 3 Ac 3.75-3.83, 1 Pr 3.82
La: 0.7448 0.0000 0.2495  6 La 3.71-3.80, 2 Pr 3.76, 1 Ho 3.77, 3 Ac 3.79-3.80
La: 0.7455 0.5000 0.7452  6 La 3.71-3.80, 2 Ho 3.72, 3 Ac 3.75-3.83, 1 Pr 3.82
Pr: 0.5000 0.5000 0.0000  4 Ac 3.75, 6 La 3.76-3.82, 2 Pr 3.80
Ho: 0.5000 0.0000 0.5000  6 La 3.72-3.77, 4 Ac 3.75, 2 Ho 3.80

[8]
Compound: GaP2S2
Source: the Alexandria database
Functional: GGA-PBE
Structure: relaxed

Results
symmetry: P4/mmm, No. 123
ΔE to the lowest computed polymorph: 1.85 eV/f.u.
N(E_F): 3.65 states/eV/cell
uncorrected energy: -19.68 eV for the cell shown
energy relative to the elements, uncorrected: 485 meV per atom

Lattice parameters (Å, degrees): 4.6046 4.6046 4.4902 90.00 90.00 90.00
Closest atoms and distances in Å follow each position.
Element x y z (fractional)
Ga: 0.0000 0.0000 0.0000  8 S 3.22, 4 P 3.26
P: 0.5000 0.5000 0.0000  2 P 2.25
P: 0.5000 0.5000 0.5000  2 P 2.25, 4 S 2.30
S: 0.0000 0.5000 0.5000  2 P 2.30
S: 0.5000 0.0000 0.5000  2 P 2.30

[9]
Compound: Tm6CuRu5
Source: the Alexandria database
Functional: GGA-PBE
Structure: relaxed

Results
symmetry: Cmmm, No. 65
DFT formation energy: -438 meV/atom
N(E_F): 7.42 states/eV/cell
uncorrected energy: -82.56 eV for the cell shown

Lattice parameters (Å, degrees): 7.5029 7.5029 6.7335 90.00 90.00 142.93
Closest atoms and distances in Å follow each position.
Element x y z (fractional)
Tm: 0.0000 0.0000 0.2451  6 Ru 2.88-2.90, 2 Cu 2.94
Tm: 0.0000 0.0000 0.7549  6 Ru 2.88-2.90, 2 Cu 2.94
Tm: 0.3310 0.6690 0.2476  7 Ru 2.88-2.93, 1 Cu 2.94
Tm: 0.3310 0.6690 0.7524  7 Ru 2.88-2.93, 1 Cu 2.94
Tm: 0.6690 0.3310 0.2476  7 Ru 2.88-2.93, 1 Cu 2.94
Tm: 0.6690 0.3310 0.7524  7 Ru 2.88-2.93, 1 Cu 2.94
Cu: 0.5000 0.5000 0.5000  8 Tm 2.94
Ru: 0.1645 0.8355 0.5000  8 Tm 2.90-2.93
Ru: 0.1658 0.8342 0.0000  8 Tm 2.88-2.91
Ru: 0.5000 0.5000 0.0000  8 Tm 2.90-2.93
Ru: 0.8342 0.1658 0.0000  8 Tm 2.88-2.91
Ru: 0.8355 0.1645 0.5000  8 Tm 2.90-2.93

[10]
Compound: Sc3C
Source: the Alexandria database
Functional: GGA-PBE
Structure: relaxed

Results
symmetry: Pmm2, No. 25
ΔE to the lowest computed polymorph: 2.40 eV/f.u.
DFT formation energy: 333 meV/atom
N(E_F): 4.75 states/eV/cell
uncorrected energy: -26.89 eV for the cell shown

Lattice parameters (Å, degrees): 3.7788 3.8409 5.4809 90.00 90.00 90.00
Closest atoms and distances in Å follow each position.
Element x y z (fractional)
Sc: 0.0000 0.0000 0.0000  4 C 2.94, 4 Sc 3.03-3.14
Sc: 0.0000 0.5000 0.4523  2 C 2.30
Sc: 0.5000 0.0000 0.4320  2 C 2.27
C: 0.5000 0.5000 0.2126  4 Sc 2.27-2.30

[11]
Compound: VCo3Tc
Source: the Alexandria database
Functional: GGA-PBE
Structure: relaxed

Results
symmetry: Pm-3m, No. 221
ΔE to the lowest computed polymorph: 0.00 eV/f.u.
DFT formation energy: 1201 meV/atom
N(E_F): 6.55 states/eV/cell
uncorrected energy: -34.80 eV for the cell shown

Lattice parameters (Å, degrees): 4.1567 4.1567 4.1567 90.00 90.00 90.00
Closest atoms and distances in Å follow each position.
Element x y z (fractional)
V: 0.0000 0.0000 0.0000  6 Co 2.08
Co: 0.0000 0.0000 0.5000  2 V 2.08
Co: 0.0000 0.5000 0.0000  2 V 2.08
Co: 0.5000 0.0000 0.0000  2 V 2.08
Tc: 0.5000 0.5000 0.5000  12 Co 2.94

[12]
Compound: BaY2H
Source: the Alexandria database
Functional: GGA-PBE
Structure: relaxed

Results
symmetry: I-42d, No. 122
ΔE to the lowest computed polymorph: 0.00 eV/f.u.
N(E_F): 14.55 states/eV/cell
uncorrected energy: -36.73 eV for the cell shown

Lattice parameters (Å, degrees): 7.1044 7.1044 7.1044 118.39 118.39 92.81
Closest atoms and distances in Å follow each position.
Element x y z (fractional)
Ba: 0.0000 0.0000 0.0000  8 Y 4.00-4.11, 4 Ba 4.39, 4 H 4.39
Ba: 0.7500 0.2500 0.5000  8 Y 4.00-4.11, 4 Ba 4.39, 4 H 4.39
Y: 0.3351 0.6250 0.2101  2 H 2.21
Y: 0.3750 0.5851 0.7101  2 H 2.21
Y: 0.4149 0.1250 0.7899  2 H 2.21
Y: 0.8750 0.6649 0.2899  2 H 2.21
H: 0.2500 0.7500 0.5000  4 Y 2.21
H: 0.5000 0.5000 0.0000  4 Y 2.21

What is the uncorrected energy in the seventh record? -37.06 eV for the cell shown